Material: SbRuRh3
Method: DFT, PBEsol
State: optimized geometry

Geometry as POSCAR:
```
SbRuRh3
1.0
-3.565 2.544 -1.402
-1.922 -3.730 -1.881
-2.178 -0.872 3.955
Sb Rh Ru
1 3 1
direct
0.500 0.500 0.500
0.000 0.500 0.000
0.000 0.000 0.500
0.500 0.000 0.000
0.000 0.000 0.000
```

Summary:
ΔE_f (raw)	6.07	eV per formula unit
Fermi-level density of states	5.4	states/eV/cell
raw total energy	-33.075	eV/f.u.